{
  "formula": "NaLi4Au",
  "functional": "GGA-PBE",
  "state": "optimized geometry",
  "de_polymorph_ev_per_atom": 0.133,
  "spacegroup": "F-43m, No. 216",
  "energy_ev_per_atom": -2.1205,
  "magmom_total_mub_per_cell": 0.0,
  "dos_at_fermi_per_ev_cell": 2.82,
  "formation_energy_ev_per_atom": -0.079,
  "cell": [[0.0000, 3.8195, 3.8195], [3.8195, 0.0000, 3.8195], [3.8195, 3.8195, 0.0000]],
  "species": ["Na", "Li", "Li", "Li", "Li", "Au"],
  "frac_coords": [[0.0000, 0.0000, 0.0000], [0.3769, 0.3769, 0.3769], [0.3769, 0.3769, 0.8693], [0.3769, 0.8693, 0.3769], [0.8693, 0.3769, 0.3769], [0.7500, 0.7500, 0.7500]]
}